(1)
First-principles (PBE) data for a relaxed Tm2CoBi crystal, as listed in the Alexandria database.

Calculated values
For the density of states at the Fermi level, the calculation gives 2.79 states/eV per cell. As for the calculated total energy: -5.341 eV/atom.

Cell: 3.3399 3.3399 8.4103 Å, 90.00 90.00 90.00°
Space group P4/mmm (No. 123)
Asymmetric unit:
Tm: 0.0000 0.0000 0.1913 x2
Co: 0.5000 0.5000 0.0000 x1
Bi: 0.5000 0.5000 0.5000 x1

(2)
First-principles (PBE) data for a relaxed Tm2CoBi crystal, as listed in the Alexandria database.

Calculated values
For the density of states at the Fermi level, the calculation gives 4.09 states/eV per cell. As for the calculated total energy: -5.093 eV/atom.

Cell: 3.6989 3.6989 28.1984 Å, 90.00 90.00 120.00°
Space group R-3m (No. 166, hexagonal axes)
Asymmetric unit:
Tm: 0.0000 0.0000 0.1141 x6
Co: 0.0000 0.0000 0.5000 x3
Bi: 0.0000 0.0000 0.0000 x3

calculated total energy of number 2 (Tm2CoBi)?
-5.093 eV/atom